A relaxed structure of La5Pr4Ho2, computed with PBE-GGA.

Calculated values
The value obtained for the total energy is -52.11 eV/cell.

Unit cell a=9.1559 b=3.5854 c=12.0345 alpha=90.00 beta=94.51 gamma=90.00
Space group P2/m (No. 10)
Symmetry-distinct sites (fractional):
La 0.0000 0.0000 0.0000 (multiplicity 1)
La 0.0686 0.0000 0.2921 (multiplicity 2)
La 0.3036 0.0000 0.8324 (multiplicity 2)
Pr 0.2194 0.5000 0.5497 (multiplicity 2)
Pr 0.3430 0.5000 0.1104 (multiplicity 2)
Ho 0.4423 0.0000 0.3653 (multiplicity 2)

A relaxed structure of ZrSe3S, computed with PBE-GGA.

Calculated values
The value obtained for the total energy is -22.10 eV/cell.

Unit cell a=4.7775 b=4.7775 c=4.7775 alpha=90.00 beta=90.00 gamma=90.00
Space group Pm-3m (No. 221)
Symmetry-distinct sites (fractional):
Zr 0.0000 0.0000 0.0000 (multiplicity 1)
Se 0.0000 0.5000 0.5000 (multiplicity 3)
S 0.5000 0.5000 0.5000 (multiplicity 1)

no.,spin magnetization (μB/f.u.)
1,0.00
2,0.00